Here is crystalline Ba2SrPm at its relaxed geometry from the Alexandria database. Energies are from GGA-PBE.

Summary:
Its energy above the most stable polymorph in this dataset is 0.039 eV/atom. The calculation puts the total magnetization at 0.0 μB/cell. The formation energy is 0.180 eV per atom.

Lattice parameters (Å, degrees): 9.336 9.336 9.336 90.00 90.00 90.00
Space group Fm-3m (No. 225)
Symmetry-distinct sites (fractional):
Ba1 0.250 0.250 0.250 x8
Sr1 0.000 0.000 0.000 x4
Pm1 0.000 0.000 0.500 x4